[1]
Density functional theory data (PBE) for CuBiSbF after structural relaxation.

Structure (POSCAR):
```
CuBiSbF
1.0
9.714 0.000 0.000
0.000 18.240 0.000
0.000 0.000 3.964
Cu Bi Sb F
8 8 8 8
direct
0.847 0.877 0.000
0.347 0.623 0.000
0.656 0.783 0.000
0.153 0.123 0.000
0.344 0.217 0.000
0.156 0.717 0.000
0.844 0.283 0.000
0.653 0.377 0.000
0.187 0.402 0.500
0.039 0.248 0.500
0.813 0.598 0.500
0.961 0.752 0.500
0.687 0.098 0.500
0.539 0.252 0.500
0.461 0.748 0.500
0.313 0.902 0.500
0.666 0.882 0.500
0.006 0.078 0.500
0.994 0.922 0.500
0.166 0.618 0.500
0.506 0.422 0.500
0.834 0.382 0.500
0.494 0.578 0.500
0.334 0.118 0.500
0.241 0.829 0.000
0.741 0.671 0.000
0.759 0.171 0.000
0.259 0.329 0.000
0.142 0.464 0.000
0.858 0.536 0.000
0.642 0.036 0.000
0.358 0.964 0.000
```

Values from the calculation:
The excess energy over the best structure of this formula in the dataset comes out at 0.79 kcal/mol of atoms.

[2]
Density functional theory data (PBE) for SmBiNO after structural relaxation.

Structure (POSCAR):
```
SmBiNO
1.0
5.124 0.000 0.000
0.000 5.124 0.000
0.000 0.000 5.070
Bi O Sm N
2 2 2 2
direct
0.750 0.750 0.010
0.250 0.250 0.990
0.750 0.250 0.000
0.250 0.750 0.000
0.250 0.750 0.500
0.750 0.250 0.500
0.750 0.750 0.458
0.250 0.250 0.542
```

Values from the calculation:
The excess energy over the best structure of this formula in the dataset comes out at 5.51 kcal/mol of atoms.

[3]
Density functional theory data (PBE) for FeMo4PbC2 after structural relaxation.

Structure (POSCAR):
```
FeMo4PbC2
1.0
3.115 0.000 0.000
-1.558 2.698 0.000
0.000 0.000 13.593
Mo Pb Fe C
4 1 1 2
direct
0.000 0.000 0.686
0.000 0.000 0.314
0.667 0.333 0.147
0.667 0.333 0.853
0.667 0.333 0.500
0.000 0.000 0.000
0.333 0.667 0.767
0.333 0.667 0.233
```

Values from the calculation:
The calculation puts the uncorrected energy at -0.3311 Ha/atom.

[4]
Density functional theory data (PBE) for PmSnNO after structural relaxation.

Structure (POSCAR):
```
PmSnNO
1.0
4.258 0.000 0.000
0.000 4.258 0.000
0.000 0.000 7.707
O N Sn Pm
2 2 2 2
direct
0.750 0.250 0.000
0.250 0.750 0.000
0.250 0.250 0.636
0.750 0.750 0.364
0.750 0.250 0.500
0.250 0.750 0.500
0.750 0.750 0.871
0.250 0.250 0.129
```

Values from the calculation:
The excess energy over the best structure of this formula in the dataset comes out at 7.88 kcal/mol of atoms.

[5]
Density functional theory data (PBE) for LiReNiSb after structural relaxation.

Structure (POSCAR):
```
LiReNiSb
1.0
0.000 3.065 3.065
3.065 0.000 3.065
3.065 3.065 0.000
Sb Re Li Ni
1 1 1 1
direct
0.000 0.000 0.000
0.500 0.500 0.500
0.250 0.250 0.250
0.750 0.750 0.750
```

Values from the calculation:
The calculation puts the uncorrected energy at -0.2036 Ha/atom.

[6]
Density functional theory data (PBE) for Ta2W4S3N3 after structural relaxation.

Structure (POSCAR):
```
Ta2W4S3N3
1.0
-1.863 5.115 0.997
-5.482 0.739 0.166
2.562 -4.204 10.969
W N Ta S
8 6 4 6
direct
0.913 0.671 0.593
0.101 0.177 0.104
0.329 0.087 0.907
0.671 0.913 0.093
0.823 0.899 0.396
0.899 0.823 0.896
0.087 0.329 0.407
0.177 0.101 0.604
0.331 0.793 0.003
0.793 0.331 0.503
0.000 0.500 0.000
0.500 0.000 0.500
0.207 0.669 0.497
0.669 0.207 0.997
0.489 0.361 0.606
0.639 0.511 0.894
0.511 0.639 0.394
0.361 0.489 0.106
0.576 0.766 0.728
0.921 0.079 0.750
0.079 0.921 0.250
0.766 0.576 0.228
0.424 0.234 0.272
0.234 0.424 0.772
```

Values from the calculation:
The calculation puts the uncorrected energy at -0.3508 Ha/atom.